## 1
Below is a relaxed structure of Zr3Tl2, with properties calculated at the GGA-PBEsol level.

The crystal system is orthorhombic. The spin magnetization is 0.0 Bohr magnetons per cell. As for the symmetry: No. 43. The density of states at the Fermi level comes out at 7.24 states/eV/cell.

POSCAR file:
```
Zr3Tl2
1.0
-3.9219 4.4452 -0.8144
-5.8497 -1.1189 0.0810
1.8315 -1.0286 7.5479
Zr Tl
6 4
Direct
0.4534 0.1152 0.2012
0.5022 0.6152 0.2988
0.1902 0.5000 0.5000
0.9402 0.0000 0.0000
0.3674 0.8848 0.7988
0.8186 0.3848 0.7012
0.3548 0.4280 0.8986
0.0328 0.0720 0.3986
0.7062 0.9280 0.6014
0.8843 0.5720 0.1014
```


## 2
Below is a relaxed structure of Zr3Tl2, with properties calculated at the GGA-PBEsol level.

The crystal system is trigonal. The spin magnetization is 0.0 Bohr magnetons per cell. As for the symmetry: No. 166. The density of states at the Fermi level comes out at 4.14 states/eV/cell.

POSCAR file:
```
Zr3Tl2
1.0
-0.3793 0.9809 3.0845
-2.5595 -1.0302 1.7345
5.6079 -9.7876 5.5238
Zr Tl
3 2
Direct
0.0000 0.0000 0.0000
0.1989 0.1989 0.4032
0.8011 0.8011 0.5968
0.5998 0.5998 0.2005
0.4002 0.4002 0.7995
```


Stability check: which of them is least stable? 2.


## 1
Below is a relaxed structure of Zr4Tl, with properties calculated at the GGA-PBEsol level.

The crystal system is tetragonal. The spin magnetization is 0.0 Bohr magnetons per cell. As for the symmetry: No. 139. The density of states at the Fermi level comes out at 4.22 states/eV/cell.

POSCAR file:
```
Zr4Tl
1.0
-3.6600 1.3594 -1.0710
-0.2670 -2.9190 -2.7926
-1.0551 -3.5525 6.7489
Zr Tl
4 1
Direct
0.7500 0.2500 0.5000
0.2500 0.7500 0.5000
0.4118 0.4118 0.8235
0.5882 0.5882 0.1765
0.0000 0.0000 0.0000
```


## 2
Below is a relaxed structure of Zr4Tl, with properties calculated at the GGA-PBEsol level.

The crystal system is tetragonal. The spin magnetization is 0.0 Bohr magnetons per cell. As for the symmetry: No. 87. The density of states at the Fermi level comes out at 6.41 states/eV/cell.

POSCAR file:
```
Zr4Tl
1.0
4.2290 0.0000 0.0000
2.1145 5.0864 0.0000
2.1145 0.0000 5.0864
Zr Tl
4 1
Direct
0.8068 0.5820 0.8044
0.3888 0.8044 0.4180
0.6112 0.1956 0.5820
0.1932 0.4180 0.1956
0.0000 0.0000 0.0000
```


Stability check: which of them is least stable? 1.


## 1
Below is a relaxed structure of W, with properties calculated at the GGA-PBEsol level.

The crystal system is cubic. The spin magnetization is 0.0 Bohr magnetons per cell. As for the symmetry: No. 229. The density of states at the Fermi level comes out at 0.27 states/eV/cell.

POSCAR file:
```
W
1.0
2.7299 0.0000 0.0000
-0.9100 2.5738 0.0000
-0.9100 -1.2869 2.2290
W
1
Direct
0.0000 0.0000 0.0000
```


## 2
Below is a relaxed structure of W, with properties calculated at the GGA-PBEsol level.

The crystal system is cubic. The spin magnetization is 0.0 Bohr magnetons per cell. As for the symmetry: No. 223. The density of states at the Fermi level comes out at 2.25 states/eV/cell.

POSCAR file:
```
W
1.0
-1.9994 3.3198 3.2097
-3.4758 -3.3847 1.3356
3.0401 -1.6864 3.6379
W
8
Direct
0.2500 0.0000 0.5000
0.0000 0.5000 0.7500
0.5000 0.5000 0.5000
0.5000 0.2500 0.0000
0.0000 0.5000 0.2500
0.7500 0.0000 0.5000
0.5000 0.7500 0.0000
0.0000 0.0000 0.0000
```


Stability check: which of them is least stable? 2.


## 1
Below is a relaxed structure of Y3W, with properties calculated at the GGA-PBEsol level.

The crystal system is monoclinic. The spin magnetization is 0.0 Bohr magnetons per cell. As for the symmetry: No. 10. The density of states at the Fermi level comes out at 5.85 states/eV/cell.

POSCAR file:
```
Y3W
1.0
-0.8844 -2.0988 2.2925
0.6009 -3.6288 -3.0904
6.3719 0.3224 0.8604
Y W
3 1
Direct
0.0000 0.0000 0.5000
0.5971 0.5000 0.7771
0.4029 0.5000 0.2229
0.0000 0.0000 0.0000
```


## 2
Below is a relaxed structure of Y3W, with properties calculated at the GGA-PBEsol level.

The crystal system is trigonal. The spin magnetization is 0.0 Bohr magnetons per cell. As for the symmetry: No. 166. The density of states at the Fermi level comes out at 6.25 states/eV/cell.

POSCAR file:
```
Y3W
1.0
3.0691 0.0000 0.0000
-1.0230 5.9986 0.0000
-1.0230 -2.9993 5.1949
Y W
3 1
Direct
0.5000 0.0000 0.5000
0.0000 0.5000 0.5000
0.5000 0.5000 0.0000
0.0000 0.0000 0.0000
```


Stability check: which of them is least stable? 2.